A crystal of InTe4Os relaxed with PBEsol. Source: Alexandria via LeMat-Bulk, functional SCAN.

Properties
- N(E_F) (states/eV/atom) = 0.9151
- energy relative to the elements, uncorrected (eV per atom) = 1.290
- total magnetization (μB per formula unit) = 3.1

Structure (extended XYZ):
```
6
Lattice="-0.074 0.529 -6.122 -2.836 -4.248 -3.417 -5.237 1.385 -2.902" Properties=species:S:1:pos:R:3 pbc="T T T"
In -6.110 -1.751 -9.331
Os 0.000 0.000 0.000
Te -3.043 -0.872 -4.647
Te -5.693 -0.171 -6.115
Te -3.080 -0.605 -7.745
Te -4.478 -3.022 -6.376
```